Entry 1:
This record from Alexandria via LeMat-Bulk describes a geometry-optimized Cs2Br2F structure. The functional is PBE.

```
Cs2Br2F
1.0
8.254 0.000 0.000
0.000 8.254 0.000
0.000 0.000 5.860
Cs Br F
4 4 2
Direct
0.194 0.306 0.000
0.306 0.806 0.000
0.694 0.194 0.000
0.806 0.694 0.000
0.121 0.621 0.500
0.379 0.121 0.500
0.621 0.879 0.500
0.879 0.379 0.500
0.000 0.000 0.000
0.500 0.500 0.000
```

* distance to the lowest polymorph of the same formula: 0.00 kJ per mole of atoms
* symmetry: No. 127
* uncorrected formation energy: -1.600 eV/atom
* total DFT energy (no corrections): -2.985 eV/atom
* size of the total moment: 2.11 μB per cell

---

Entry 2:
This record from Alexandria via LeMat-Bulk describes a geometry-optimized ErPd3Pt2 structure. The functional is PBE.

```
ErPd3Pt2
1.0
2.827 -7.026 0.000
2.827 7.026 0.000
0.000 0.000 5.271
Er Pd Pt
2 6 4
Direct
0.156 0.844 0.750
0.844 0.156 0.250
0.076 0.419 0.750
0.342 0.658 0.250
0.419 0.076 0.250
0.581 0.924 0.750
0.658 0.342 0.750
0.924 0.581 0.250
0.258 0.258 0.000
0.258 0.258 0.500
0.742 0.742 0.000
0.742 0.742 0.500
```

* distance to the lowest polymorph of the same formula: 14.17 kJ per mole of atoms
* symmetry: No. 63
* energy relative to the elements: -477.2 meV/atom
* total DFT energy (no corrections): -5.848 eV/atom
* size of the total moment: 0.00 μB per cell

---

Entry 3:
This record from Alexandria via LeMat-Bulk describes a geometry-optimized ScVB4 structure. The functional is PBE.

```
ScVB4
1.0
5.890 0.000 0.000
0.000 11.377 0.000
0.000 0.000 3.302
Sc V B
4 4 16
Direct
0.125 0.151 0.000
0.375 0.651 0.000
0.625 0.349 0.000
0.875 0.849 0.000
0.131 0.416 0.000
0.369 0.916 0.000
0.631 0.084 0.000
0.869 0.584 0.000
0.019 0.696 0.500
0.118 0.550 0.500
0.131 0.968 0.500
0.206 0.813 0.500
0.294 0.313 0.500
0.369 0.468 0.500
0.382 0.050 0.500
0.481 0.196 0.500
0.519 0.804 0.500
0.618 0.950 0.500
0.631 0.532 0.500
0.706 0.687 0.500
0.794 0.187 0.500
0.869 0.032 0.500
0.882 0.450 0.500
0.981 0.304 0.500
```

* symmetry: No. 55
* energy relative to the elements: -745.9 meV/atom
* total DFT energy (no corrections): -7.773 eV/atom
* size of the total moment: 0.00 μB per cell

---

Entry 4:
This record from Alexandria via LeMat-Bulk describes a geometry-optimized K3Ho3ZrS8 structure. The functional is PBE.

```
K3Ho3ZrS8
1.0
3.951 2.281 7.497
-3.951 2.281 7.497
0.000 -4.562 7.497
K Ho Zr S
3 3 1 8
Direct
0.000 0.500 0.500
0.500 0.000 0.500
0.500 0.500 0.000
0.000 0.000 0.500
0.000 0.500 0.000
0.500 0.000 0.000
0.500 0.500 0.500
0.233 0.233 0.233
0.246 0.724 0.724
0.276 0.276 0.754
0.276 0.754 0.276
0.724 0.246 0.724
0.724 0.724 0.246
0.754 0.276 0.276
0.767 0.767 0.767
```

* symmetry: No. 166
* uncorrected formation energy: -1.830 eV/atom
* total DFT energy (no corrections): -5.736 eV/atom
* size of the total moment: 0.00 μB per cell

---

Entry 5:
This record from Alexandria via LeMat-Bulk describes a geometry-optimized IrRu2W structure. The functional is PBE.

```
IrRu2W
1.0
3.282 0.000 0.000
0.000 3.282 0.000
0.000 0.000 5.550
Ir Ru W
1 2 1
Direct
0.000 0.000 0.000
0.500 0.500 0.246
0.500 0.500 0.754
0.000 0.000 0.500
```

* distance to the lowest polymorph of the same formula: 42.54 kJ per mole of atoms
* symmetry: No. 123
* energy relative to the elements: 262.2 meV/atom
* total DFT energy (no corrections): -9.829 eV/atom
* size of the total moment: 0.41 μB per cell

---

Entry 6:
This record from Alexandria via LeMat-Bulk describes a geometry-optimized Sr2TcRh structure. The functional is PBE.

```
Sr2TcRh
1.0
7.389 0.000 0.000
0.000 7.389 0.000
0.000 0.000 7.389
Sr Tc Rh
8 4 4
Direct
0.250 0.250 0.250
0.250 0.250 0.750
0.250 0.750 0.250
0.250 0.750 0.750
0.750 0.250 0.250
0.750 0.250 0.750
0.750 0.750 0.250
0.750 0.750 0.750
0.000 0.000 0.000
0.000 0.500 0.500
0.500 0.000 0.500
0.500 0.500 0.000
0.000 0.000 0.500
0.000 0.500 0.000
0.500 0.000 0.000
0.500 0.500 0.500
```

* distance to the lowest polymorph of the same formula: 46.47 kJ per mole of atoms
* symmetry: No. 225
* energy relative to the elements: 697.1 meV/atom
* total DFT energy (no corrections): -4.573 eV/atom
* size of the total moment: 11.43 μB per cell

---

Entry 7:
This record from Alexandria via LeMat-Bulk describes a geometry-optimized NaIrF2 structure. The functional is PBE.

```
NaIrF2
1.0
5.926 0.000 0.000
0.000 5.926 0.000
0.000 0.000 6.829
Na Ir F
4 4 8
Direct
0.000 0.000 0.000
0.000 0.500 0.250
0.500 0.000 0.750
0.500 0.500 0.500
0.000 0.000 0.500
0.000 0.500 0.750
0.500 0.000 0.250
0.500 0.500 0.000
0.236 0.750 0.125
0.250 0.236 0.875
0.250 0.264 0.375
0.264 0.750 0.625
0.736 0.250 0.625
0.750 0.736 0.375
0.750 0.764 0.875
0.764 0.250 0.125
```

* distance to the lowest polymorph of the same formula: 81.37 kJ per mole of atoms
* symmetry: No. 122
* uncorrected formation energy: -0.667 eV/atom
* total DFT energy (no corrections): -4.148 eV/atom
* size of the total moment: 8.50 μB per cell

---

Entry 8:
This record from Alexandria via LeMat-Bulk describes a geometry-optimized Sm4Ho3Se8 structure. The functional is PBE.

```
Sm4Ho3Se8
1.0
4.049 2.337 7.587
-4.049 2.337 7.587
0.000 -4.675 7.587
Sm Ho Se
4 3 8
Direct
0.000 0.000 0.000
0.146 0.146 0.146
0.500 0.500 0.500
0.854 0.854 0.854
0.000 0.500 0.500
0.500 0.000 0.500
0.500 0.500 0.000
0.250 0.250 0.737
0.250 0.737 0.250
0.263 0.750 0.750
0.268 0.268 0.268
0.732 0.732 0.732
0.737 0.250 0.250
0.750 0.263 0.750
0.750 0.750 0.263
```

* distance to the lowest polymorph of the same formula: 21.63 kJ per mole of atoms
* symmetry: No. 166
* uncorrected formation energy: -1.612 eV/atom
* total DFT energy (no corrections): -5.644 eV/atom
* size of the total moment: 0.00 μB per cell

---

Entry 9:
This record from Alexandria via LeMat-Bulk describes a geometry-optimized Nb5SiGe structure. The functional is PBE.

```
Nb5SiGe
1.0
3.982 -6.111 0.000
3.982 6.111 0.000
0.000 0.000 5.037
Nb Si Ge
10 2 2
Direct
0.013 0.346 0.750
0.204 0.796 0.750
0.220 0.383 0.250
0.346 0.013 0.250
0.383 0.220 0.750
0.617 0.780 0.250
0.654 0.987 0.750
0.780 0.617 0.750
0.796 0.204 0.250
0.987 0.654 0.250
0.000 0.000 0.000
0.000 0.000 0.500
0.412 0.588 0.750
0.588 0.412 0.250
```

* symmetry: No. 63
* uncorrected formation energy: -0.233 eV/atom
* total DFT energy (no corrections): -8.860 eV/atom
* size of the total moment: 0.00 μB per cell

---

Entry 10:
This record from Alexandria via LeMat-Bulk describes a geometry-optimized YP2I structure. The functional is PBE.

```
YP2I
1.0
7.109 0.000 0.000
0.000 7.109 0.000
0.000 0.000 7.109
Y P I
4 8 4
Direct
0.000 0.000 0.000
0.000 0.500 0.500
0.500 0.000 0.500
0.500 0.500 0.000
0.250 0.250 0.250
0.250 0.250 0.750
0.250 0.750 0.250
0.250 0.750 0.750
0.750 0.250 0.250
0.750 0.250 0.750
0.750 0.750 0.250
0.750 0.750 0.750
0.000 0.000 0.500
0.000 0.500 0.000
0.500 0.000 0.000
0.500 0.500 0.500
```

* distance to the lowest polymorph of the same formula: 1.72 kJ per mole of atoms
* symmetry: No. 225
* uncorrected formation energy: 0.207 eV/atom
* total DFT energy (no corrections): -4.502 eV/atom
* size of the total moment: 0.00 μB per cell

---

Number 1: theoretical density 3.7 g cm⁻³. Number 2: theoretical density 13.9 g cm⁻³. Number 3: theoretical density 4.2 g cm⁻³. Number 4: theoretical density 3.9 g cm⁻³. Number 5: theoretical density 16.1 g cm⁻³. Number 6: theoretical density 6.2 g cm⁻³. Number 7: theoretical density 7.0 g cm⁻³. Number 8: theoretical density 6.7 g cm⁻³. Number 9: theoretical density 7.7 g cm⁻³. Number 10: theoretical density 5.1 g cm⁻³.